No. 1
Entry from Alexandria: an optimized crystal structure of NdSn3H (PBE).

Computed properties:
Crystal system: cubic
Total energy (eV per cell): -21.3
Total moment (μB/f.u.): 0.0

Unit cell a=4.814 b=4.814 c=4.814 alpha=90.00 beta=90.00 gamma=90.00
Sites, in units of the cell vectors:
1 H 0.000 0.000 0.000
2 Nd 0.500 0.500 0.500
3 Sn 0.000 0.500 0.000
4 Sn 0.000 0.000 0.500
5 Sn 0.500 0.000 0.000


No. 2
Entry from Alexandria: an optimized crystal structure of PaH2I3 (PBE).

Computed properties:
Crystal system: hexagonal
Total energy (eV per cell): -49.0
Total moment (μB/f.u.): 1.4

Unit cell a=8.778 b=8.778 c=6.993 alpha=90.00 beta=90.00 gamma=120.00
Sites, in units of the cell vectors:
1 Pa 0.000 0.000 0.000
2 Pa 0.000 0.000 0.500
3 H 0.333 0.667 0.804
4 H 0.667 0.333 0.304
5 H 0.667 0.333 0.196
6 H 0.333 0.667 0.696
7 I 0.664 0.832 0.250
8 I 0.168 0.336 0.250
9 I 0.168 0.832 0.250
10 I 0.336 0.168 0.750
11 I 0.832 0.664 0.750
12 I 0.832 0.168 0.750


No. 3
Entry from Alexandria: an optimized crystal structure of AcZrSc2 (PBE).

Computed properties:
Crystal system: trigonal
Total energy (eV per cell): -24.6
Energy of formation (eV per atom): 0.19
Total moment (μB/f.u.): 0.0
Energy above the lowest structure with this stoichiometry (meV per atom): 62.6

Unit cell a=3.457 b=3.457 c=11.137 alpha=81.07 beta=81.07 gamma=60.00
Sites, in units of the cell vectors:
1 Ac 0.500 0.500 0.499
2 Zr 0.666 0.666 0.001
3 Sc 0.074 0.074 0.777
4 Sc 0.259 0.259 0.224


No. 4
Entry from Alexandria: an optimized crystal structure of Tl2SbIr (PBE).

Computed properties:
Crystal system: tetragonal
Total energy (eV per cell): -15.5
Total moment (μB/f.u.): 0.0
Energy above the lowest structure with this stoichiometry (meV per atom): 478.5

Unit cell a=5.587 b=4.149 c=4.149 alpha=90.00 beta=90.00 gamma=90.00
Sites, in units of the cell vectors:
1 Ir 0.500 0.500 0.000
2 Sb 0.500 0.000 0.500
3 Tl 0.000 0.000 0.000
4 Tl 0.000 0.500 0.500


No. 5
Entry from Alexandria: an optimized crystal structure of Ba5Au3 (PBE).

Computed properties:
Crystal system: orthorhombic
Total energy (eV per cell): -22.9
Energy of formation (eV per atom): -0.44
Total moment (μB/f.u.): 0.0
Energy above the lowest structure with this stoichiometry (meV per atom): 109.8

Unit cell a=8.203 b=8.203 c=5.170 alpha=90.00 beta=90.00 gamma=110.18
Sites, in units of the cell vectors:
1 Ba 0.000 0.000 0.000
2 Ba 0.000 0.500 0.000
3 Ba 0.500 0.000 0.000
4 Ba 0.296 0.296 0.500
5 Ba 0.704 0.704 0.500
6 Au 0.500 0.500 0.000
7 Au 0.836 0.164 0.500
8 Au 0.164 0.836 0.500


No. 6
Entry from Alexandria: an optimized crystal structure of TcMo2W (PBE).

Computed properties:
Crystal system: monoclinic
Total energy (eV per cell): -179.2
Energy of formation (eV per atom): 0.05
Total moment (μB/f.u.): 0.0
Energy above the lowest structure with this stoichiometry (meV per atom): 29.8

Unit cell a=5.452 b=5.466 c=8.907 alpha=90.00 beta=90.00 gamma=70.53
Sites, in units of the cell vectors:
1 Tc 0.062 0.000 0.747
2 Tc 0.562 0.000 0.247
3 Tc 0.562 0.500 0.253
4 Tc 0.062 0.500 0.753
5 Mo 0.312 0.750 0.000
6 Mo 0.812 0.250 0.000
7 Mo 0.812 0.750 0.500
8 Mo 0.312 0.250 0.500
9 Mo 0.562 0.000 0.751
10 Mo 0.062 0.000 0.251
11 Mo 0.062 0.500 0.249
12 Mo 0.562 0.500 0.749
13 W 0.812 0.250 0.500
14 W 0.312 0.750 0.500
15 W 0.312 0.250 0.000
16 W 0.812 0.750 0.000


No. 7
Entry from Alexandria: an optimized crystal structure of Mn4CrGa (PBE).

Computed properties:
Crystal system: cubic
Total energy (eV per cell): -48.6
Energy of formation (eV per atom): 0.11
Total moment (μB/f.u.): 2.3
Energy above the lowest structure with this stoichiometry (meV per atom): 99.5

Unit cell a=4.674 b=4.674 c=4.674 alpha=60.00 beta=60.00 gamma=60.00
Sites, in units of the cell vectors:
1 Cr 0.250 0.250 0.250
2 Mn 0.626 0.626 0.123
3 Mn 0.626 0.123 0.626
4 Mn 0.626 0.626 0.626
5 Mn 0.123 0.626 0.626
6 Ga 0.000 0.000 0.000


No. 8
Entry from Alexandria: an optimized crystal structure of In2IrSe (PBE).

Computed properties:
Crystal system: tetragonal
Total energy (eV per cell): -17.1
Total moment (μB/f.u.): 0.0

Unit cell a=5.047 b=5.047 c=3.123 alpha=90.00 beta=90.00 gamma=90.00
Sites, in units of the cell vectors:
1 In 0.000 0.000 0.000
2 In 0.500 0.500 0.000
3 Ir 0.500 0.000 0.500
4 Se 0.000 0.500 0.500


No. 9
Entry from Alexandria: an optimized crystal structure of LiBeSe3 (PBE).

Computed properties:
Crystal system: cubic
Total energy (eV per cell): -12.7
Total moment (μB/f.u.): 0.0
Energy above the lowest structure with this stoichiometry (meV per atom): 736.3

Unit cell a=4.638 b=4.638 c=4.638 alpha=90.00 beta=90.00 gamma=90.00
Sites, in units of the cell vectors:
1 Be 0.500 0.500 0.500
2 Se 0.000 0.500 0.000
3 Se 0.000 0.000 0.500
4 Se 0.500 0.000 0.000
5 Li 0.000 0.000 0.000


No. 10
Entry from Alexandria: an optimized crystal structure of Sr2IrPt (PBE).

Computed properties:
Crystal system: orthorhombic
Total energy (eV per cell): -19.2
Energy of formation (eV per atom): -0.23
Total moment (μB/f.u.): 0.1

Unit cell a=3.848 b=3.721 c=7.666 alpha=60.97 beta=90.00 gamma=90.00
Sites, in units of the cell vectors:
1 Ir 0.500 0.250 0.250
2 Pt 0.500 0.750 0.750
3 Sr 0.000 0.998 0.002
4 Sr 0.000 0.502 0.498


No. 11
Entry from Alexandria: an optimized crystal structure of CsBaAgHg (PBE).

Computed properties:
Crystal system: cubic
Total energy (eV per cell): -6.4
Energy of formation (eV per atom): -0.11
Total moment (μB/f.u.): 0.0

Unit cell a=6.088 b=6.088 c=6.088 alpha=60.00 beta=60.00 gamma=60.00
Sites, in units of the cell vectors:
1 Cs 0.500 0.500 0.500
2 Hg 0.750 0.750 0.750
3 Ag 0.250 0.250 0.250
4 Ba 0.000 0.000 0.000


No. 12
Entry from Alexandria: an optimized crystal structure of La2Tb6PmY3 (PBE).

Computed properties:
Crystal system: monoclinic
Total energy (eV per cell): -61.5
Energy of formation (eV per atom): 0.02
Total moment (μB/f.u.): 0.0

Unit cell a=6.246 b=6.246 c=11.932 alpha=95.00 beta=95.00 gamma=120.01
Sites, in units of the cell vectors:
1 La 0.333 0.667 0.000
2 La 0.667 0.333 0.000
3 Tb 0.915 0.582 0.746
4 Tb 0.752 0.752 0.254
5 Tb 0.085 0.418 0.254
6 Tb 0.582 0.915 0.746
7 Tb 0.248 0.248 0.746
8 Tb 0.418 0.085 0.254
9 Pm 0.000 0.000 0.000
10 Y 0.166 0.834 0.500
11 Y 0.834 0.166 0.500
12 Y 0.500 0.500 0.500